Er2TmMg: optimized geometry, PBE-GGA. Values from VASP.

Values from the calculation:
Formation energy: 0.035 eV per atom
Polymorph energy (0 for the lowest one): 0.246 eV/f.u.
Uncorrected energy: -15.05 eV per cell

```
&SYSTEM
  ibrav = 0, nat = 4, ntyp = 3
/
ATOMIC_SPECIES
Er 167.26 Er.upf
Tm 168.93 Tm.upf
Mg 24.30 Mg.upf
ATOMIC_POSITIONS crystal
Er 0.0000 0.5000 0.0000
Er 0.5000 0.0000 0.0000
Tm 0.0000 0.0000 0.5000
Mg 0.5000 0.5000 0.5000
CELL_PARAMETERS angstrom
4.8647 0.0000 0.0000
0.0000 4.8647 0.0000
0.0000 0.0000 4.8474
```